First-principles (GGA-PBE) data for an optimized crystal structure of LiPmGa4Pt2, as listed in the Alexandria database.

Calculated values
Formation energy: -5.89 eV/f.u.
SG: R-3m (166)

```
LiPmGa4Pt2
1.0
2.154 1.243 8.672
-2.154 1.243 8.672
0.000 -2.487 8.672
Li Pm Ga Pt
1 1 4 2
Direct
0.000 0.000 0.000
0.500 0.500 0.500
0.101 0.101 0.101
0.369 0.369 0.369
0.631 0.631 0.631
0.899 0.899 0.899
0.266 0.266 0.266
0.734 0.734 0.734
```